Arrangement w

An optimized crystal structure of HfCuBiPt. Source: the Open Quantum Materials Database, functional PBE.

abc: 6.7420 6.7420 6.7420
angles: 90.00 90.00 90.00
Last column: nearest neighbours and their distance in Å.
Space group F-43m (No. 216)
Unique sites:
Hf: 0.0000 0.0000 0.0000 x4  4 Cu 2.92, 4 Pt 2.92
Cu: 0.2500 0.2500 0.2500 x4  4 Hf 2.92, 4 Bi 2.92
Bi: 0.0000 0.0000 0.5000 x4  4 Cu 2.92, 4 Pt 2.92
Pt: 0.2500 0.2500 0.7500 x4  4 Hf 2.92, 4 Bi 2.92

## Properties
Total moment = 0.00 μB per formula unit

Arrangement x

An optimized crystal structure of HfCuBiPt. Source: the Open Quantum Materials Database, functional PBE.

abc: 6.7368 6.7368 6.7368
angles: 90.00 90.00 90.00
Last column: nearest neighbours and their distance in Å.
Space group F-43m (No. 216)
Unique sites:
Hf: 0.0000 0.0000 0.0000 x4  4 Pt 2.92, 4 Bi 2.92
Cu: 0.0000 0.0000 0.5000 x4  4 Bi 2.92, 4 Pt 2.92
Bi: 0.2500 0.2500 0.7500 x4  4 Hf 2.92, 4 Cu 2.92
Pt: 0.2500 0.2500 0.2500 x4  4 Cu 2.92, 4 Hf 2.92

## Properties
Total moment = 0.00 μB per formula unit

Sorted by energy, starting with the most stable: arrangement w, arrangement x.

Arrangement w

An optimized crystal structure of HfCuReBi. Source: the Open Quantum Materials Database, functional PBE.

abc: 6.6886 6.6886 6.6886
angles: 90.00 90.00 90.00
Last column: nearest neighbours and their distance in Å.
Space group F-43m (No. 216)
Unique sites:
Hf: 0.0000 0.0000 0.0000 x4  4 Bi 2.90, 4 Re 2.90
Cu: 0.0000 0.0000 0.5000 x4  4 Re 2.90, 4 Bi 2.90
Re: 0.2500 0.2500 0.7500 x4  4 Hf 2.90, 4 Cu 2.90
Bi: 0.2500 0.2500 0.2500 x4  4 Hf 2.90, 4 Cu 2.90

## Properties
Total moment = 0.54 μB per formula unit

Arrangement x

An optimized crystal structure of HfCuReBi. Source: the Open Quantum Materials Database, functional PBE.

abc: 6.6516 6.6516 6.6516
angles: 90.00 90.00 90.00
Last column: nearest neighbours and their distance in Å.
Space group F-43m (No. 216)
Unique sites:
Hf: 0.0000 0.0000 0.0000 x4  4 Re 2.88, 4 Cu 2.88
Cu: 0.2500 0.2500 0.7500 x4  4 Hf 2.88, 4 Bi 2.88
Re: 0.2500 0.2500 0.2500 x4  4 Hf 2.88, 4 Bi 2.88
Bi: 0.0000 0.0000 0.5000 x4  4 Re 2.88, 4 Cu 2.88

## Properties
Total moment = 0.01 μB per formula unit

Sorted by energy, starting with the most stable: arrangement x, arrangement w.

Arrangement w

An optimized crystal structure of CuHgBiIr. Source: the Open Quantum Materials Database, functional PBE.

abc: 6.7704 6.7704 6.7704
angles: 90.00 90.00 90.00
Last column: nearest neighbours and their distance in Å.
Space group F-43m (No. 216)
Unique sites:
Cu: 0.0000 0.0000 0.0000 x4  4 Bi 2.93, 4 Ir 2.93
Hg: 0.0000 0.0000 0.5000 x4  4 Bi 2.93, 4 Ir 2.93
Bi: 0.2500 0.2500 0.7500 x4  4 Hg 2.93, 4 Cu 2.93
Ir: 0.2500 0.2500 0.2500 x4  4 Hg 2.93, 4 Cu 2.93

## Properties
Total moment = 0.00 μB per formula unit

Arrangement x

An optimized crystal structure of CuHgBiIr. Source: the Open Quantum Materials Database, functional PBE.

abc: 6.7234 6.7234 6.7234
angles: 90.00 90.00 90.00
Last column: nearest neighbours and their distance in Å.
Space group F-43m (No. 216)
Unique sites:
Cu: 0.0000 0.0000 0.0000 x4  4 Hg 2.91, 4 Bi 2.91
Hg: 0.2500 0.2500 0.2500 x4  4 Cu 2.91, 4 Ir 2.91
Bi: 0.2500 0.2500 0.7500 x4  4 Cu 2.91, 4 Ir 2.91
Ir: 0.0000 0.0000 0.5000 x4  4 Hg 2.91, 4 Bi 2.91

## Properties
Total moment = 0.00 μB per formula unit

Sorted by energy, starting with the most stable: arrangement x, arrangement w.

Arrangement w

An optimized crystal structure of CuHgBiMo. Source: the Open Quantum Materials Database, functional PBE.

abc: 6.7663 6.7663 6.7663
angles: 90.00 90.00 90.00
Last column: nearest neighbours and their distance in Å.
Space group F-43m (No. 216)
Unique sites:
Cu: 0.0000 0.0000 0.0000 x4  4 Hg 2.93, 4 Bi 2.93
Hg: 0.2500 0.2500 0.2500 x4  4 Mo 2.93, 4 Cu 2.93
Bi: 0.2500 0.2500 0.7500 x4  4 Mo 2.93, 4 Cu 2.93
Mo: 0.0000 0.0000 0.5000 x4  4 Bi 2.93, 4 Hg 2.93

## Properties
Total moment = 0.41 μB per formula unit

Arrangement x

An optimized crystal structure of CuHgBiMo. Source: the Open Quantum Materials Database, functional PBE.

abc: 6.9383 6.9383 6.9383
angles: 90.00 90.00 90.00
Last column: nearest neighbours and their distance in Å.
Space group F-43m (No. 216)
Unique sites:
Cu: 0.0000 0.0000 0.0000 x4  4 Mo 3.00, 4 Bi 3.00
Hg: 0.0000 0.0000 0.5000 x4  4 Bi 3.00, 4 Mo 3.00
Bi: 0.2500 0.2500 0.7500 x4  4 Hg 3.00, 4 Cu 3.00
Mo: 0.2500 0.2500 0.2500 x4  4 Hg 3.00, 4 Cu 3.00

## Properties
Total moment = 3.07 μB per formula unit

Sorted by energy, starting with the most stable: arrangement w, arrangement x.

Arrangement w

An optimized crystal structure of NbCuHgBi. Source: the Open Quantum Materials Database, functional PBE.

abc: 7.0028 7.0028 7.0028
angles: 90.00 90.00 90.00
Last column: nearest neighbours and their distance in Å.
Space group F-43m (No. 216)
Unique sites:
Nb: 0.0000 0.0000 0.0000 x4  4 Cu 3.03, 4 Hg 3.03
Cu: 0.2500 0.2500 0.7500 x4  4 Nb 3.03, 4 Bi 3.03
Hg: 0.2500 0.2500 0.2500 x4  4 Nb 3.03, 4 Bi 3.03
Bi: 0.0000 0.0000 0.5000 x4  4 Hg 3.03, 4 Cu 3.03

## Properties
Total moment = 2.51 μB per formula unit

Arrangement x

An optimized crystal structure of NbCuHgBi. Source: the Open Quantum Materials Database, functional PBE.

abc: 6.8982 6.8982 6.8982
angles: 90.00 90.00 90.00
Last column: nearest neighbours and their distance in Å.
Space group F-43m (No. 216)
Unique sites:
Nb: 0.0000 0.0000 0.0000 x4  4 Hg 2.99, 4 Bi 2.99
Cu: 0.0000 0.0000 0.5000 x4  4 Hg 2.99, 4 Bi 2.99
Hg: 0.2500 0.2500 0.7500 x4  4 Nb 2.99, 4 Cu 2.99
Bi: 0.2500 0.2500 0.2500 x4  4 Nb 2.99, 4 Cu 2.99

## Properties
Total moment = 1.44 μB per formula unit

Sorted by energy, starting with the most stable: arrangement x, arrangement w.

Arrangement w

An optimized crystal structure of CuHgBiOs. Source: the Open Quantum Materials Database, functional PBE.

abc: 6.7633 6.7633 6.7633
angles: 90.00 90.00 90.00
Last column: nearest neighbours and their distance in Å.
Space group F-43m (No. 216)
Unique sites:
Cu: 0.0000 0.0000 0.0000 x4  4 Bi 2.93, 4 Os 2.93
Hg: 0.0000 0.0000 0.5000 x4  4 Os 2.93, 4 Bi 2.93
Bi: 0.2500 0.2500 0.2500 x4  4 Hg 2.93, 4 Cu 2.93
Os: 0.2500 0.2500 0.7500 x4  4 Hg 2.93, 4 Cu 2.93

## Properties
Total moment = 0.00 μB per formula unit

Arrangement x

An optimized crystal structure of CuHgBiOs. Source: the Open Quantum Materials Database, functional PBE.

abc: 6.7044 6.7044 6.7044
angles: 90.00 90.00 90.00
Last column: nearest neighbours and their distance in Å.
Space group F-43m (No. 216)
Unique sites:
Cu: 0.0000 0.0000 0.0000 x4  4 Hg 2.90, 4 Bi 2.90
Hg: 0.2500 0.2500 0.7500 x4  4 Os 2.90, 4 Cu 2.90
Bi: 0.2500 0.2500 0.2500 x4  4 Cu 2.90, 4 Os 2.90
Os: 0.0000 0.0000 0.5000 x4  4 Bi 2.90, 4 Hg 2.90

## Properties
Total moment = 0.03 μB per formula unit

Sorted by energy, starting with the most stable: arrangement x, arrangement w.

Arrangement w

An optimized crystal structure of YCuHgBi. Source: the Open Quantum Materials Database, functional PBE.

abc: 7.2594 7.2594 7.2594
angles: 90.00 90.00 90.00
Last column: nearest neighbours and their distance in Å.
Space group F-43m (No. 216)
Unique sites:
Y: 0.0000 0.0000 0.0000 x4  4 Hg 3.14, 4 Cu 3.14
Cu: 0.2500 0.2500 0.2500 x4  4 Bi 3.14, 4 Y 3.14
Hg: 0.2500 0.2500 0.7500 x4  4 Bi 3.14, 4 Y 3.14
Bi: 0.0000 0.0000 0.5000 x4  4 Hg 3.14, 4 Cu 3.14

## Properties
Total moment = 0.00 μB per formula unit

Arrangement x

An optimized crystal structure of YCuHgBi. Source: the Open Quantum Materials Database, functional PBE.

abc: 7.2588 7.2588 7.2588
angles: 90.00 90.00 90.00
Last column: nearest neighbours and their distance in Å.
Space group F-43m (No. 216)
Unique sites:
Y: 0.0000 0.0000 0.0000 x4  4 Hg 3.14, 4 Bi 3.14
Cu: 0.0000 0.0000 0.5000 x4  4 Bi 3.14, 4 Hg 3.14
Hg: 0.2500 0.2500 0.7500 x4  4 Cu 3.14, 4 Y 3.14
Bi: 0.2500 0.2500 0.2500 x4  4 Cu 3.14, 4 Y 3.14

## Properties
Total moment = 0.00 μB per formula unit

Sorted by energy, starting with the most stable: arrangement w, arrangement x.